Record 1
This record from Alexandria describes crystalline PmHo2Cd4 at its relaxed geometry. The functional is GGA-PBE.

Calculated values
**ΔH_f (0 K)**: -0.15 eV per atom

Structure (CIF):
```
data_PmHo2Cd4
_chemical_formula_sum 'Pm2 Ho4 Cd8'
_cell_length_a 5.356
_cell_length_b 5.356
_cell_length_c 13.895
_cell_angle_alpha 90.00
_cell_angle_beta 90.00
_cell_angle_gamma 90.00
_space_group_name_H-M_alt 'I 4/m m m'
_space_group_IT_number 139
_space_group_name_Hall '-I 4 2'
loop_
_atom_site_label
_atom_site_fract_x
_atom_site_fract_y
_atom_site_fract_z
Pm1 0.000 0.000 0.000
Ho1 0.000 0.000 0.259
Cd1 0.000 0.500 0.119
```

Record 2
This record from Alexandria describes crystalline PmHo4Cd at its relaxed geometry. The functional is GGA-PBE.

Calculated values
**Offset from the most stable computed form**: 0.0 meV per atom
**ΔH_f (0 K)**: -0.09 eV per atom

Structure (CIF):
```
data_PmHo4Cd
_chemical_formula_sum 'Pm1 Ho4 Cd1'
_cell_length_a 3.570
_cell_length_b 3.570
_cell_length_c 14.107
_cell_angle_alpha 90.00
_cell_angle_beta 90.00
_cell_angle_gamma 90.00
_space_group_name_H-M_alt 'P 4/m m m'
_space_group_IT_number 123
_space_group_name_Hall '-P 4 2'
loop_
_atom_site_label
_atom_site_fract_x
_atom_site_fract_y
_atom_site_fract_z
Pm1 0.000 0.000 0.000
Ho1 0.000 0.000 0.354
Ho2 0.500 0.500 0.179
Cd1 0.500 0.500 0.500
```

Record 3
This record from Alexandria describes crystalline Pm4Ho3Cd4 at its relaxed geometry. The functional is GGA-PBE.

Calculated values
**ΔH_f (0 K)**: -0.13 eV per atom

Structure (CIF):
```
data_Pm4Ho3Cd4
_chemical_formula_sum 'Pm8 Ho6 Cd8'
_cell_length_a 3.562
_cell_length_b 9.293
_cell_length_c 19.628
_cell_angle_alpha 90.00
_cell_angle_beta 90.00
_cell_angle_gamma 90.00
_space_group_name_H-M_alt 'I m m m'
_space_group_IT_number 71
_space_group_name_Hall '-I 2 2'
loop_
_atom_site_label
_atom_site_fract_x
_atom_site_fract_y
_atom_site_fract_z
Pm1 0.000 0.177 0.157
Ho1 0.000 0.000 0.403
Ho2 0.000 0.500 0.500
Cd1 0.000 0.292 0.000
Cd2 0.000 0.500 0.229
```

Record 4
This record from Alexandria describes crystalline PmHoCd at its relaxed geometry. The functional is GGA-PBE.

Calculated values
**Offset from the most stable computed form**: 546.8 meV per atom
**ΔH_f (0 K)**: 0.35 eV per atom

Structure (CIF):
```
data_PmHoCd
_chemical_formula_sum 'Pm4 Ho4 Cd4'
_cell_length_a 6.392
_cell_length_b 17.716
_cell_length_c 3.364
_cell_angle_alpha 90.00
_cell_angle_beta 90.00
_cell_angle_gamma 90.00
_space_group_name_H-M_alt 'C m c m'
_space_group_IT_number 63
_space_group_name_Hall '-C 2c 2'
loop_
_atom_site_label
_atom_site_fract_x
_atom_site_fract_y
_atom_site_fract_z
Pm1 0.000 0.083 0.250
Ho1 0.000 0.419 0.750
Cd1 0.000 0.268 0.250
```

Record 5
This record from Alexandria describes crystalline Pm5HoCd3 at its relaxed geometry. The functional is GGA-PBE.

Calculated values
**ΔH_f (0 K)**: -0.18 eV per atom

Structure (CIF):
```
data_Pm5HoCd3
_chemical_formula_sum 'Pm10 Ho2 Cd6'
_cell_length_a 9.3898
_cell_length_b 9.3898
_cell_length_c 7.0188
_cell_angle_alpha 90.00
_cell_angle_beta 90.00
_cell_angle_gamma 120.00
_space_group_name_H-M_alt 'P 63/m c m'
_space_group_IT_number 193
_space_group_name_Hall '-P 6c 2'
loop_
_atom_site_label
_atom_site_fract_x
_atom_site_fract_y
_atom_site_fract_z
Pm1 0.0000 0.3343 0.2500
Pm2 0.3333 0.6667 0.0000
Ho1 0.0000 0.0000 0.0000
Cd1 0.0000 0.3288 0.7500
```

Record 6
This record from Alexandria describes crystalline Pm3Ho2Cd2 at its relaxed geometry. The functional is GGA-PBE.

Calculated values
**Offset from the most stable computed form**: 94.7 meV per atom
**ΔH_f (0 K)**: -0.06 eV per atom

Structure (CIF):
```
data_Pm3Ho2Cd2
_chemical_formula_sum 'Pm6 Ho4 Cd4'
_cell_length_a 5.122
_cell_length_b 23.105
_cell_length_c 3.497
_cell_angle_alpha 90.00
_cell_angle_beta 90.00
_cell_angle_gamma 90.00
_space_group_name_H-M_alt 'C m m m'
_space_group_IT_number 65
_space_group_name_Hall '-C 2 2'
loop_
_atom_site_label
_atom_site_fract_x
_atom_site_fract_y
_atom_site_fract_z
Pm1 0.000 0.000 0.000
Pm2 0.000 0.146 0.000
Ho1 0.000 0.290 0.500
Cd1 0.000 0.431 0.500
```

Record 7
This record from Alexandria describes crystalline PmHo4Cd3 at its relaxed geometry. The functional is GGA-PBE.

Calculated values
**ΔH_f (0 K)**: -0.16 eV per atom

Structure (CIF):
```
data_PmHo4Cd3
_chemical_formula_sum 'Pm3 Ho12 Cd9'
_cell_length_a 5.3255
_cell_length_b 5.3255
_cell_length_c 27.0783
_cell_angle_alpha 90.00
_cell_angle_beta 90.00
_cell_angle_gamma 120.00
_space_group_name_H-M_alt 'R -3 m'
_space_group_IT_number 166
_space_group_name_Hall '-R 3 2"'
loop_
_atom_site_label
_atom_site_fract_x
_atom_site_fract_y
_atom_site_fract_z
Pm1 0.0000 0.0000 0.0000
Ho1 0.0000 0.0000 0.1304
Ho2 0.0000 0.0000 0.3871
Cd1 0.0000 0.0000 0.2584
Cd2 0.0000 0.0000 0.5000
```

Record 8
This record from Alexandria describes crystalline PmHo2Cd at its relaxed geometry. The functional is GGA-PBE.

Calculated values
**Offset from the most stable computed form**: 92.5 meV per atom
**ΔH_f (0 K)**: -0.06 eV per atom

Structure (CIF):
```
data_PmHo2Cd
_chemical_formula_sum 'Pm3 Ho6 Cd3'
_cell_length_a 3.6086
_cell_length_b 3.6086
_cell_length_c 32.2707
_cell_angle_alpha 90.00
_cell_angle_beta 90.00
_cell_angle_gamma 120.00
_space_group_name_H-M_alt 'R 3 m'
_space_group_IT_number 160
_space_group_name_Hall 'R 3 -2"'
loop_
_atom_site_label
_atom_site_fract_x
_atom_site_fract_y
_atom_site_fract_z
Pm1 0.0000 0.0000 0.0000
Ho1 0.0000 0.0000 0.5763
Ho2 0.0000 0.0000 0.7571
Cd1 0.0000 0.0000 0.1665
```

Record 9
This record from Alexandria describes crystalline Pm3Ho2Cd3 at its relaxed geometry. The functional is GGA-PBE.

Calculated values
**ΔH_f (0 K)**: -0.24 eV per atom

Structure (CIF):
```
data_Pm3Ho2Cd3
_chemical_formula_sum 'Pm6 Ho4 Cd6'
_cell_length_a 3.758
_cell_length_b 5.474
_cell_length_c 22.452
_cell_angle_alpha 90.00
_cell_angle_beta 90.00
_cell_angle_gamma 90.00
_space_group_name_H-M_alt 'I m m m'
_space_group_IT_number 71
_space_group_name_Hall '-I 2 2'
loop_
_atom_site_label
_atom_site_fract_x
_atom_site_fract_y
_atom_site_fract_z
Pm1 0.000 0.000 0.000
Pm2 0.000 0.500 0.124
Ho1 0.000 0.000 0.235
Cd1 0.000 0.000 0.500
Cd2 0.000 0.500 0.380
```

Record 10
This record from Alexandria describes crystalline PmHoCd2 at its relaxed geometry. The functional is GGA-PBE.

Calculated values
**Offset from the most stable computed form**: 1.3 meV per atom
**ΔH_f (0 K)**: -0.32 eV per atom

Structure (CIF):
```
data_PmHoCd2
_chemical_formula_sum 'Pm1 Ho1 Cd2'
_cell_length_a 3.744
_cell_length_b 3.744
_cell_length_c 7.711
_cell_angle_alpha 90.00
_cell_angle_beta 90.00
_cell_angle_gamma 90.00
_space_group_name_H-M_alt 'P 4/m m m'
_space_group_IT_number 123
_space_group_name_Hall '-P 4 2'
loop_
_atom_site_label
_atom_site_fract_x
_atom_site_fract_y
_atom_site_fract_z
Pm1 0.000 0.000 0.000
Ho1 0.000 0.000 0.500
Cd1 0.500 0.500 0.264
```

Record 11
This record from Alexandria describes crystalline Pm12Ho3Cd at its relaxed geometry. The functional is GGA-PBE.

Calculated values
**ΔH_f (0 K)**: -0.01 eV per atom

Structure (CIF):
```
data_Pm12Ho3Cd
_chemical_formula_sum 'Pm12 Ho3 Cd1'
_cell_length_a 5.063
_cell_length_b 5.063
_cell_length_c 20.463
_cell_angle_alpha 90.00
_cell_angle_beta 90.00
_cell_angle_gamma 90.00
_space_group_name_H-M_alt 'P 4/m m m'
_space_group_IT_number 123
_space_group_name_Hall '-P 4 2'
loop_
_atom_site_label
_atom_site_fract_x
_atom_site_fract_y
_atom_site_fract_z
Pm1 0.000 0.000 0.000
Pm2 0.000 0.000 0.246
Pm3 0.000 0.000 0.500
Pm4 0.000 0.500 0.122
Pm5 0.000 0.500 0.374
Ho1 0.500 0.500 0.248
Ho2 0.500 0.500 0.500
Cd1 0.500 0.500 0.000
```